# LiYPbS3

LiYPbS3 after structural relaxation (GGA-PBE, Alexandria).

Summary:
Symmetry: P2_1/m (11)
E, eV per atom: -5.42
Density of states at the Fermi level, states/eV/atom: 0.0000

abc: 8.331 3.991 8.590
angles: 90.00 102.27 90.00
Fractional coordinates of all 12 atoms:
Li 0.084 0.250 0.086
Li 0.916 0.750 0.914
Y 0.333 0.750 0.332
Y 0.667 0.250 0.668
Pb 0.186 0.250 0.732
Pb 0.814 0.750 0.268
S 0.116 0.250 0.369
S 0.210 0.750 0.012
S 0.435 0.750 0.663
S 0.565 0.250 0.337
S 0.790 0.250 0.988
S 0.884 0.750 0.631

=====

# ZnFeSb

ZnFeSb after structural relaxation (GGA-PBE, Alexandria).

Summary:
Offset from the most stable computed form, meV per atom: 33
Symmetry: F-43m (216)
E, eV per atom: -4.49
Density of states at the Fermi level, states/eV/atom: 1.3058

abc: 4.228 4.228 4.228
angles: 60.00 60.00 60.00
Fractional coordinates of all 3 atoms:
Zn 0.000 0.000 0.000
Fe 0.250 0.250 0.250
Sb 0.500 0.500 0.500

=====

# Pr3Y2TmSe6

Pr3Y2TmSe6 after structural relaxation (GGA-PBE, Alexandria).

Summary:
Symmetry: C2/m (12)
E, eV per atom: -6.18
Density of states at the Fermi level, states/eV/atom: 0.4678

abc: 7.137 7.137 7.362
angles: 99.29 99.29 120.22
Fractional coordinates of all 12 atoms:
Pr 0.000 0.000 0.000
Pr 0.330 0.670 0.000
Pr 0.670 0.330 0.000
Y 0.167 0.833 0.500
Y 0.833 0.167 0.500
Tm 0.500 0.500 0.500
Se 0.095 0.423 0.270
Se 0.249 0.249 0.733
Se 0.423 0.095 0.270
Se 0.577 0.905 0.730
Se 0.751 0.751 0.267
Se 0.905 0.577 0.730

=====

# Rb4CeTh3Te8

Rb4CeTh3Te8 after structural relaxation (GGA-PBE, Alexandria).

Summary:
Symmetry: R-3m (166)
E, eV per atom: -4.78
Density of states at the Fermi level, states/eV/atom: 1.0548

abc: 10.199 10.199 10.199
angles: 52.93 52.93 52.93
Fractional coordinates of all 16 atoms:
Rb 0.000 0.000 0.000
Rb 0.000 0.500 0.500
Rb 0.500 0.000 0.500
Rb 0.500 0.500 0.000
Ce 0.500 0.500 0.500
Th 0.000 0.000 0.500
Th 0.000 0.500 0.000
Th 0.500 0.000 0.000
Te 0.233 0.738 0.738
Te 0.237 0.237 0.237
Te 0.262 0.262 0.767
Te 0.262 0.767 0.262
Te 0.738 0.233 0.738
Te 0.738 0.738 0.233
Te 0.763 0.763 0.763
Te 0.767 0.262 0.262

=====

# SiTcHgPd2

SiTcHgPd2 after structural relaxation (GGA-PBE, Alexandria).

Summary:
Symmetry: P4/mmm (123)
E, eV per atom: -5.03
Density of states at the Fermi level, states/eV/atom: 0.3886

abc: 4.514 4.514 4.520
angles: 90.00 90.00 90.00
Fractional coordinates of all 5 atoms:
Si 0.000 0.000 0.000
Tc 0.000 0.000 0.500
Hg 0.500 0.500 0.500
Pd 0.000 0.500 0.000
Pd 0.500 0.000 0.000

=====

# BeCdSi2

BeCdSi2 after structural relaxation (GGA-PBE, Alexandria).

Summary:
Offset from the most stable computed form, meV per atom: 88
Symmetry: Pmm2 (25)
E, eV per atom: -3.41
Density of states at the Fermi level, states/eV/atom: 0.2884

abc: 2.791 3.316 6.885
angles: 90.00 90.00 90.00
Fractional coordinates of all 4 atoms:
Be 0.000 0.000 0.000
Cd 0.500 0.500 0.277
Si 0.000 0.000 0.632
Si 0.500 0.500 0.840

=====

# PaBeCu2

PaBeCu2 after structural relaxation (GGA-PBE, Alexandria).

Summary:
Symmetry: P4/mmm (123)
E, eV per atom: -5.30
ΔH_f (0 K), eV per atom: 0.054
Density of states at the Fermi level, states/eV/atom: 0.7584

abc: 2.911 2.911 6.844
angles: 90.00 90.00 90.00
Fractional coordinates of all 4 atoms:
Pa 0.000 0.000 0.000
Be 0.000 0.000 0.500
Cu 0.500 0.500 0.318
Cu 0.500 0.500 0.682

=====

# Dy4RhSeS2

Dy4RhSeS2 after structural relaxation (GGA-PBE, Alexandria).

Summary:
Symmetry: P2/m (10)
E, eV per atom: -6.28
Density of states at the Fermi level, states/eV/atom: 0.6539

abc: 6.977 3.931 6.989
angles: 90.00 108.80 90.00
Fractional coordinates of all 8 atoms:
Dy 0.242 0.000 0.236
Dy 0.255 0.500 0.764
Dy 0.745 0.500 0.236
Dy 0.758 0.000 0.764
Rh 0.500 0.000 0.000
Se 0.500 0.500 0.500
S 0.000 0.000 0.500
S 0.000 0.500 0.000

=====

# Pm3HoCo

Pm3HoCo after structural relaxation (GGA-PBE, Alexandria).

Summary:
Offset from the most stable computed form, meV per atom: 0
Symmetry: C2/m (12)
E, eV per atom: -5.26
ΔH_f (0 K), eV per atom: -0.075
Density of states at the Fermi level, states/eV/atom: 1.0010

abc: 7.250 7.250 8.316
angles: 124.63 124.63 71.92
Fractional coordinates of all 10 atoms:
Pm 0.046 0.046 0.338
Pm 0.048 0.455 0.210
Pm 0.455 0.048 0.210
Pm 0.545 0.952 0.790
Pm 0.952 0.545 0.790
Pm 0.954 0.954 0.662
Ho 0.455 0.455 0.754
Ho 0.545 0.545 0.246
Co 0.252 0.252 0.866
Co 0.748 0.748 0.134

=====

# YCo2Si

YCo2Si after structural relaxation (GGA-PBE, Alexandria).

Summary:
Symmetry: P4/mmm (123)
E, eV per atom: -6.77
Density of states at the Fermi level, states/eV/atom: 0.7236

abc: 2.925 2.925 6.669
angles: 90.00 90.00 90.00
Fractional coordinates of all 4 atoms:
Y 0.000 0.000 0.000
Co 0.500 0.500 0.309
Co 0.500 0.500 0.691
Si 0.000 0.000 0.500

=====

# Sc2TaAu

Sc2TaAu after structural relaxation (GGA-PBE, Alexandria).

Summary:
Offset from the most stable computed form, meV per atom: 261
Symmetry: Fm-3m (225)
E, eV per atom: -6.99
ΔH_f (0 K), eV per atom: -0.037
Density of states at the Fermi level, states/eV/atom: 1.2919

abc: 4.824 4.824 4.824
angles: 60.00 60.00 60.00
Fractional coordinates of all 4 atoms:
Sc 0.250 0.250 0.250
Sc 0.750 0.750 0.750
Ta 0.000 0.000 0.000
Au 0.500 0.500 0.500

=====

# Ba3LiIr2O9

Ba3LiIr2O9 after structural relaxation (GGA-PBE, Alexandria).

Summary:
Offset from the most stable computed form, meV per atom: 13
Symmetry: P-3m1 (164)
E, eV per atom: -6.42
Density of states at the Fermi level, states/eV/atom: 0.7451

abc: 5.788 5.788 7.123
angles: 90.00 90.00 120.00
Fractional coordinates of all 15 atoms:
Ba 0.000 0.000 0.000
Ba 0.333 0.667 0.656
Ba 0.667 0.333 0.344
Li 0.000 0.000 0.500
Ir 0.333 0.667 0.165
Ir 0.667 0.333 0.835
O 0.000 0.500 0.000
O 0.176 0.351 0.319
O 0.176 0.824 0.319
O 0.351 0.176 0.681
O 0.500 0.000 0.000
O 0.500 0.500 0.000
O 0.649 0.824 0.319
O 0.824 0.176 0.681
O 0.824 0.649 0.681

=====

# Ba2NpOsS6

Ba2NpOsS6 after structural relaxation (GGA-PBE, Alexandria).

Summary:
Symmetry: Fm-3m (225)
E, eV per atom: -6.56
Density of states at the Fermi level, states/eV/atom: 0.5070

abc: 6.959 6.959 6.959
angles: 60.00 60.00 60.00
Fractional coordinates of all 10 atoms:
Ba 0.250 0.250 0.250
Ba 0.750 0.750 0.750
Np 0.000 0.000 0.000
Os 0.500 0.500 0.500
S 0.259 0.259 0.741
S 0.259 0.741 0.259
S 0.259 0.741 0.741
S 0.741 0.259 0.259
S 0.741 0.259 0.741
S 0.741 0.741 0.259

=====

# ZrIr2Cl

ZrIr2Cl after structural relaxation (GGA-PBE, Alexandria).

Summary:
Offset from the most stable computed form, meV per atom: 83
Symmetry: C2/m (12)
E, eV per atom: -7.26
Density of states at the Fermi level, states/eV/atom: 0.8268

abc: 5.285 5.285 4.469
angles: 91.97 91.97 32.46
Fractional coordinates of all 4 atoms:
Zr 0.000 0.000 0.000
Ir 0.273 0.273 0.759
Ir 0.727 0.727 0.241
Cl 0.500 0.500 0.500

=====

# BaGaTe2I

BaGaTe2I after structural relaxation (GGA-PBE, Alexandria).

Summary:
Offset from the most stable computed form, meV per atom: 644
Symmetry: P4/mmm (123)
E, eV per atom: -2.69
Density of states at the Fermi level, states/eV/atom: 1.3963

abc: 6.638 6.638 6.679
angles: 90.00 90.00 90.00
Fractional coordinates of all 5 atoms:
Ba 0.000 0.000 0.000
Ga 0.500 0.500 0.500
Te 0.000 0.500 0.000
Te 0.500 0.000 0.000
I 0.000 0.000 0.500

=====

# Ca3AgPd2

Ca3AgPd2 after structural relaxation (GGA-PBE, Alexandria).

Summary:
Offset from the most stable computed form, meV per atom: 0
Symmetry: P4/mmm (123)
E, eV per atom: -3.77
ΔH_f (0 K), eV per atom: -0.565
Density of states at the Fermi level, states/eV/atom: 0.3405

abc: 3.563 3.563 10.988
angles: 90.00 90.00 90.00
Fractional coordinates of all 6 atoms:
Ca 0.000 0.000 0.000
Ca 0.000 0.000 0.315
Ca 0.000 0.000 0.685
Ag 0.500 0.500 0.500
Pd 0.500 0.500 0.161
Pd 0.500 0.500 0.839

=====

# Er2PuHfP4

Er2PuHfP4 after structural relaxation (GGA-PBE, Alexandria).

Summary:
Symmetry: P2/m (10)
E, eV per atom: -8.30
ΔH_f (0 K), eV per atom: -1.421
Density of states at the Fermi level, states/eV/atom: 1.3070

abc: 6.736 3.898 6.743
angles: 90.00 109.29 90.00
Fractional coordinates of all 8 atoms:
Er 0.000 0.000 0.000
Er 0.500 0.500 0.000
Pu 0.000 0.500 0.500
Hf 0.500 0.000 0.500
P 0.256 0.000 0.743
P 0.262 0.500 0.262
P 0.738 0.500 0.738
P 0.744 0.000 0.257

=====

# Ba2Al2Ag

Ba2Al2Ag after structural relaxation (GGA-PBE, Alexandria).

Summary:
Offset from the most stable computed form, meV per atom: 235
Symmetry: I4/mmm (139)
E, eV per atom: -2.78
ΔH_f (0 K), eV per atom: 0.056
Density of states at the Fermi level, states/eV/atom: 0.7669

abc: 6.122 6.122 6.122
angles: 113.34 113.34 101.98
Fractional coordinates of all 5 atoms:
Ba 0.250 0.750 0.500
Ba 0.750 0.250 0.500
Al 0.160 0.160 0.000
Al 0.840 0.840 0.000
Ag 0.500 0.500 0.000

=====

# NaBeBiB2

NaBeBiB2 after structural relaxation (GGA-PBE, Alexandria).

Summary:
Symmetry: P4/mmm (123)
E, eV per atom: -3.25
ΔH_f (0 K), eV per atom: 1.207
Density of states at the Fermi level, states/eV/atom: 0.5090

abc: 4.013 4.013 5.265
angles: 90.00 90.00 90.00
Fractional coordinates of all 5 atoms:
Na 0.000 0.000 0.000
Be 0.500 0.500 0.500
Bi 0.500 0.500 0.000
B 0.000 0.500 0.500
B 0.500 0.000 0.500

=====

# VGa2Cl

VGa2Cl after structural relaxation (GGA-PBE, Alexandria).

Summary:
Offset from the most stable computed form, meV per atom: 0
Symmetry: I-42d (122)
E, eV per atom: -4.06
Density of states at the Fermi level, states/eV/atom: 1.1704

abc: 6.597 6.597 6.597
angles: 97.13 97.13 138.73
Fractional coordinates of all 8 atoms:
V 0.000 0.000 0.000
V 0.750 0.250 0.500
Ga 0.052 0.625 0.927
Ga 0.375 0.302 0.427
Ga 0.698 0.125 0.073
Ga 0.875 0.948 0.573
Cl 0.250 0.750 0.500
Cl 0.500 0.500 0.000